[1]
VASP calculation (PBE) on a relaxed Rb2Nb2W crystal.

Lattice parameters (Å, degrees): 3.572 3.572 13.210 82.23 82.23 90.00
Site moments in Bohr magnetons follow the coordinates.
Positions (direct):
Nb (0.750, 0.250, 0.500)  0.03
Nb (0.250, 0.750, 0.500)  0.03
Rb (0.391, 0.391, 0.218)  0.01
Rb (0.609, 0.609, 0.782)  0.01
W (0.000, 0.000, 0.000)  1.33

Summary:
energy above the most stable polymorph in this dataset	0	meV per atom
spin magnetization	2.04	μB/f.u.
formation enthalpy at 0 K	183.49	kJ per mole of atoms
total DFT energy (no corrections)	-25.519	eV for the cell shown

***

[2]
VASP calculation (PBE) on a relaxed Rb2NbW crystal.

Lattice parameters (Å, degrees): 5.853 5.853 5.853 60.00 60.00 60.00
Site moments in Bohr magnetons follow the coordinates.
Positions (direct):
Nb (0.000, 0.000, 0.000)  -3.02
Rb (0.250, 0.250, 0.250)  -0.02
Rb (0.750, 0.750, 0.750)  -0.02
W (0.500, 0.500, 0.500)  3.12

Summary:
spin magnetization	0.01	μB/f.u.
formation enthalpy at 0 K	247.18	kJ per mole of atoms
total DFT energy (no corrections)	-14.711	eV for the cell shown

***

[3]
VASP calculation (PBE) on a relaxed Rb2Nb2W crystal.

Lattice parameters (Å, degrees): 9.585 9.585 2.766 90.00 90.00 90.00
Site moments in Bohr magnetons follow the coordinates.
Positions (direct):
Nb (0.196, 0.696, 0.500)  0.91
Nb (0.696, 0.804, 0.500)  0.90
Nb (0.804, 0.304, 0.500)  0.91
Nb (0.304, 0.196, 0.500)  0.90
Rb (0.389, 0.889, 0.000)  0.08
Rb (0.889, 0.611, 0.000)  0.08
Rb (0.611, 0.111, 0.000)  0.08
Rb (0.111, 0.389, 0.000)  0.08
W (0.000, 0.000, 0.000)  -0.50
W (0.500, 0.500, 0.000)  -0.49

Summary:
energy above the most stable polymorph in this dataset	630	meV per atom
spin magnetization	1.94	μB/f.u.
formation enthalpy at 0 K	244.25	kJ per mole of atoms
total DFT energy (no corrections)	-44.741	eV for the cell shown

***

[4]
VASP calculation (PBE) on a relaxed RbZr2NbW crystal.

Lattice parameters (Å, degrees): 4.905 4.751 4.905 90.00 90.00 90.00
Positions (direct):
Rb (0.000, 0.000, 0.000)
Nb (0.000, 0.500, 0.000)
Zr (0.000, 0.000, 0.500)
Zr (0.500, 0.000, 0.000)
W (0.500, 0.500, 0.500)

Summary:
spin magnetization	0.00	μB/f.u.
formation enthalpy at 0 K	263.11	kJ per mole of atoms
total DFT energy (no corrections)	-27.452	eV for the cell shown

***

[5]
VASP calculation (PBE) on a relaxed RbY2Nb crystal.

Lattice parameters (Å, degrees): 5.580 5.580 5.580 60.00 60.00 60.00
Site moments in Bohr magnetons follow the coordinates.
Positions (direct):
Y (0.250, 0.250, 0.250)  0.08
Y (0.750, 0.750, 0.750)  0.08
Nb (0.500, 0.500, 0.500)  1.81
Rb (0.000, 0.000, 0.000)  0.00

Summary:
energy above the most stable polymorph in this dataset	0	meV per atom
spin magnetization	2.68	μB/f.u.
formation enthalpy at 0 K	90.07	kJ per mole of atoms
total DFT energy (no corrections)	-20.232	eV for the cell shown

***

[6]
VASP calculation (PBE) on a relaxed RbY3Nb crystal.

Lattice parameters (Å, degrees): 5.711 5.711 5.711 90.00 90.00 90.00
Positions (direct):
Y (0.000, 0.500, 0.000)
Y (0.000, 0.000, 0.500)
Y (0.500, 0.000, 0.000)
Nb (0.000, 0.000, 0.000)
Rb (0.500, 0.500, 0.500)

Summary:
energy above the most stable polymorph in this dataset	0	meV per atom
spin magnetization	0.00	μB/f.u.
formation enthalpy at 0 K	59.58	kJ per mole of atoms
total DFT energy (no corrections)	-27.342	eV for the cell shown

***

In order of appearance, theoretical density = 5.427; 5.243; 7.065; 7.911; 4.815; 3.967 Mg/m³.